This record from Alexandria describes a relaxed SnMo crystal. The functional is GGA-PBE.

The structure in POSCAR format:
```
SnMo
1.0
8.396 0.000 0.000
0.000 8.396 0.000
0.000 0.000 8.396
Mo Sn
8 8
direct
0.893 0.107 0.893 Mo
0.393 0.607 0.393 Mo
0.607 0.393 0.393 Mo
0.107 0.107 0.107 Mo
0.607 0.607 0.607 Mo
0.107 0.893 0.893 Mo
0.393 0.393 0.607 Mo
0.893 0.893 0.107 Mo
0.205 0.795 0.205 Sn
0.295 0.705 0.705 Sn
0.705 0.705 0.295 Sn
0.795 0.205 0.205 Sn
0.295 0.295 0.295 Sn
0.795 0.795 0.795 Sn
0.705 0.295 0.705 Sn
0.205 0.205 0.795 Sn
```

Results
The total energy comes out at -102.83 eV for the cell shown. The energy of formation from the pure elements is 1.98 eV per formula unit.